No. 1
# Lu2BeTl

An optimized crystal structure of Lu2BeTl (GGA-PBE, the Open Quantum Materials Database).

The energy comes out at -3.3515 eV per atom.

Cell: 7.196 7.196 7.196 Å, 90.00 90.00 90.00°
Space group F-43m (No. 216)
One atom of each set of equivalent atoms:
1 Lu 0.000 0.000 0.000
2 Lu 0.250 0.250 0.250
3 Be 0.250 0.250 0.750
4 Tl 0.000 0.000 0.500

No. 2
# Gd3Tl4SnPb2

An optimized crystal structure of Gd3Tl4SnPb2 (GGA-PBE, the Open Quantum Materials Database).

The energy comes out at -3.8167 eV per atom.

Cell: 4.714 24.687 4.762 Å, 90.00 90.00 90.00°
Space group Cmmm (No. 65)
One atom of each set of equivalent atoms:
1 Gd 0.000 0.000 0.000
2 Gd 0.000 0.191 0.000
3 Tl 0.000 0.100 0.500
4 Tl 0.000 0.293 0.500
5 Sn 0.000 0.500 0.500
6 Pb 0.000 0.402 0.000

No. 3
# ZrTaCuAs

An optimized crystal structure of ZrTaCuAs (GGA-PBE, the Open Quantum Materials Database).

The energy comes out at -6.8360 eV per atom.

Cell: 6.526 6.526 6.526 Å, 90.00 90.00 90.00°
Space group F-43m (No. 216)
One atom of each set of equivalent atoms:
1 Zr 0.000 0.000 0.000
2 Ta 0.250 0.250 0.250
3 Cu 0.250 0.250 0.750
4 As 0.000 0.000 0.500

No. 4
# LiMg2Hg

An optimized crystal structure of LiMg2Hg (GGA-PBE, the Open Quantum Materials Database).

The energy comes out at -1.5444 eV per atom.

Cell: 4.453 4.453 4.014 Å, 90.00 90.00 90.00°
Space group P4/mmm (No. 123)
One atom of each set of equivalent atoms:
1 Li 0.000 0.000 0.000
2 Mg 0.000 0.500 0.500
3 Hg 0.500 0.500 0.000

No. 5
# IrF2

An optimized crystal structure of IrF2 (GGA-PBE, the Open Quantum Materials Database).

The energy comes out at -3.6723 eV per atom.

Cell: 6.251 6.251 6.251 Å, 90.00 90.00 90.00°
Space group Fd-3m (No. 227, origin choice 2)
One atom of each set of equivalent atoms:
1 Ir 0.125 0.125 0.125
2 F 0.000 0.000 0.500

No. 6
# BeNbNiSn

An optimized crystal structure of BeNbNiSn (GGA-PBE, the Open Quantum Materials Database).

The energy comes out at -5.5997 eV per atom.

Cell: 6.240 6.240 6.240 Å, 90.00 90.00 90.00°
Space group F-43m (No. 216)
One atom of each set of equivalent atoms:
1 Be 0.000 0.000 0.000
2 Nb 0.250 0.250 0.250
3 Ni 0.250 0.250 0.750
4 Sn 0.000 0.000 0.500